Compound: Dy2Tl3Pb3
Source: Alexandria
Functional: GGA-PBE
Structure: relaxed

abc: 4.7075 4.9783 9.6000
angles: 90.00 90.00 90.00
Space group Pmmm (No. 47)
Asymmetric unit:
Dy 0.0000 0.0000 0.2484
Tl 0.0000 0.5000 0.0000
Tl 0.5000 0.5000 0.2466
Pb 0.0000 0.5000 0.5000
Pb 0.5000 0.0000 0.0000
Pb 0.5000 0.0000 0.5000

- Density of states at the Fermi level: 4.19 states/eV/f.u.
- DFT total energy: -29.43 eV per formula unit
- E_form: -0.25 eV/atom